# 1
The following is a PBE calculation of a relaxed SmTm2Mg2 crystal, from Alexandria.

Unit cell a=16.8339 b=16.8339 c=16.8339 alpha=165.41 beta=165.41 gamma=20.68
Fractional positions:
Sm1 0.1264 0.1264 0.0000
Sm2 0.8736 0.8736 0.0000
Tm1 0.2500 0.7500 0.5000
Tm2 0.4249 0.4249 0.0000
Tm3 0.5751 0.5751 0.0000
Tm4 0.7500 0.2500 0.5000
Mg1 0.0000 0.5000 0.5000
Mg2 0.3253 0.3253 0.0000
Mg3 0.5000 0.0000 0.5000
Mg4 0.6747 0.6747 0.0000

Symmetry: I4/mmm (139)
E_form (meV per atom): 261
E above lowest polymorph (meV/atom): 318
Total DFT energy (no corrections) (eV/atom): -3.11
DOS at the Fermi energy (states/eV/atom): 1.21



# 2
The following is a PBE calculation of a relaxed RbNaHg17 crystal, from Alexandria.

Unit cell a=8.4622 b=8.4622 c=8.4622 alpha=74.69 beta=74.69 gamma=74.69
Fractional positions:
Rb1 0.0000 0.0000 0.0000
Na1 0.3259 0.3259 0.3259
Hg1 0.0576 0.0576 0.4120
Hg2 0.0576 0.4120 0.0576
Hg3 0.0740 0.6989 0.6989
Hg4 0.2965 0.2965 0.7327
Hg5 0.2965 0.7327 0.2965
Hg6 0.3378 0.6353 0.9497
Hg7 0.3378 0.9497 0.6353
Hg8 0.4120 0.0576 0.0576
Hg9 0.5316 0.5316 0.5316
Hg10 0.6353 0.3378 0.9497
Hg11 0.6353 0.9497 0.3378
Hg12 0.6989 0.0740 0.6989
Hg13 0.6989 0.6989 0.0740
Hg14 0.7028 0.7028 0.7028
Hg15 0.7327 0.2965 0.2965
Hg16 0.9497 0.3378 0.6353
Hg17 0.9497 0.6353 0.3378

Symmetry: R3m (160)
E_form (meV per atom): -91
Total DFT energy (no corrections) (eV/atom): -0.48
DOS at the Fermi energy (states/eV/atom): 0.33